No. 1
# HgPd3Ru

A geometry-optimized HgPd3Ru structure (PBE, Alexandria via LeMat-Bulk).

Geometry as CIF:
```
data_HgPd3Ru
_cell_length_a 4.9765
_cell_length_b 4.9765
_cell_length_c 4.9765
_cell_angle_alpha 90.00
_cell_angle_beta 90.00
_cell_angle_gamma 90.00
_symmetry_space_group_name_H-M 'P m -3 m'
_symmetry_Int_Tables_number 221
_symmetry_space_group_name_Hall '-P 4 2 3'
loop_
_atom_site_label
_atom_site_fract_x
_atom_site_fract_y
_atom_site_fract_z
Hg1 0.0000 0.0000 0.0000
Pd1 0.0000 0.0000 0.5000
Ru1 0.5000 0.5000 0.5000
```

- Offset from the most stable computed form: 523 meV per atom
- VASP energy: -3.457 eV/atom

No. 2
# TiBiF2

A geometry-optimized TiBiF2 structure (PBE, Alexandria via LeMat-Bulk).

Geometry as CIF:
```
data_TiBiF2
_cell_length_a 3.2930
_cell_length_b 3.2930
_cell_length_c 28.2338
_cell_angle_alpha 90.00
_cell_angle_beta 90.00
_cell_angle_gamma 120.00
_symmetry_space_group_name_H-M 'R -3 m'
_symmetry_Int_Tables_number 166
_symmetry_space_group_name_Hall '-R 3 2"'
loop_
_atom_site_label
_atom_site_fract_x
_atom_site_fract_y
_atom_site_fract_z
Ti1 0.0000 0.0000 0.0000
Bi1 0.0000 0.0000 0.5000
F1 0.0000 0.0000 0.3680
```

- Offset from the most stable computed form: 0 meV per atom
- Formation energy (no corrections): -1.8371 eV/atom
- VASP energy: -5.717 eV/atom

No. 3
# Mg6CuPt2

A geometry-optimized Mg6CuPt2 structure (PBE, Alexandria via LeMat-Bulk).

Geometry as CIF:
```
data_Mg6CuPt2
_cell_length_a 14.0375
_cell_length_b 6.2844
_cell_length_c 4.4645
_cell_angle_alpha 90.00
_cell_angle_beta 108.31
_cell_angle_gamma 90.00
_symmetry_space_group_name_H-M 'C 1 2/m 1'
_symmetry_Int_Tables_number 12
loop_
_symmetry_equiv_pos_as_xyz
'x,y,z'
'-x,-y,-z'
'-x,y,-z'
'x,-y,z'
'x+1/2,y+1/2,z'
'-x+1/2,-y+1/2,-z'
'-x+1/2,y+1/2,-z'
'x+1/2,-y+1/2,z'
loop_
_atom_site_label
_atom_site_fract_x
_atom_site_fract_y
_atom_site_fract_z
Mg1 0.0000 0.2457 0.0000
Mg2 0.1693 0.2466 0.6695
Cu1 0.0000 0.5000 0.5000
Pt1 0.1659 0.0000 0.1664
```

- Offset from the most stable computed form: 64 meV per atom
- VASP energy: -3.269 eV/atom

No. 4
# KRe2PbN

A geometry-optimized KRe2PbN structure (PBE, Alexandria via LeMat-Bulk).

Geometry as CIF:
```
data_KRe2PbN
_cell_length_a 4.1028
_cell_length_b 4.1028
_cell_length_c 5.4259
_cell_angle_alpha 90.00
_cell_angle_beta 90.00
_cell_angle_gamma 90.00
_symmetry_space_group_name_H-M 'P 4/m m m'
_symmetry_Int_Tables_number 123
_symmetry_space_group_name_Hall '-P 4 2'
loop_
_atom_site_label
_atom_site_fract_x
_atom_site_fract_y
_atom_site_fract_z
K1 0.0000 0.0000 0.0000
Re1 0.0000 0.5000 0.5000
Pb1 0.5000 0.5000 0.0000
N1 0.0000 0.0000 0.5000
```

- Formation energy (no corrections): 0.8271 eV/atom
- VASP energy: -6.778 eV/atom

No. 5
# InSn2Bi

A geometry-optimized InSn2Bi structure (PBE, Alexandria via LeMat-Bulk).

Geometry as CIF:
```
data_InSn2Bi
_cell_length_a 8.9185
_cell_length_b 5.7678
_cell_length_c 5.7858
_cell_angle_alpha 90.00
_cell_angle_beta 129.21
_cell_angle_gamma 90.00
_symmetry_space_group_name_H-M 'C 1 m 1'
_symmetry_Int_Tables_number 8
loop_
_symmetry_equiv_pos_as_xyz
'x,y,z'
'x,-y,z'
'x+1/2,y+1/2,z'
'x+1/2,-y+1/2,z'
loop_
_atom_site_label
_atom_site_fract_x
_atom_site_fract_y
_atom_site_fract_z
In1 0.0000 0.0000 0.0000
Sn1 0.0000 0.5000 0.4968
Sn2 0.2494 0.5000 0.2443
Bi1 0.2500 0.0000 0.7501
```

- Offset from the most stable computed form: 20 meV per atom
- VASP energy: -3.595 eV/atom

No. 6
# SmZrPa2

A geometry-optimized SmZrPa2 structure (PBE, Alexandria via LeMat-Bulk).

Geometry as CIF:
```
data_SmZrPa2
_cell_length_a 7.5024
_cell_length_b 7.5024
_cell_length_c 7.5024
_cell_angle_alpha 90.00
_cell_angle_beta 90.00
_cell_angle_gamma 90.00
_symmetry_space_group_name_H-M 'F m -3 m'
_symmetry_Int_Tables_number 225
_symmetry_space_group_name_Hall '-F 4 2 3'
loop_
_atom_site_label
_atom_site_fract_x
_atom_site_fract_y
_atom_site_fract_z
Sm1 0.0000 0.0000 0.0000
Zr1 0.0000 0.0000 0.5000
Pa1 0.2500 0.2500 0.2500
```

- VASP energy: -7.600 eV/atom

No. 7
# KAcSm2Se4

A geometry-optimized KAcSm2Se4 structure (PBE, Alexandria via LeMat-Bulk).

Geometry as CIF:
```
data_KAcSm2Se4
_cell_length_a 7.4619
_cell_length_b 4.2661
_cell_length_c 7.6632
_cell_angle_alpha 90.00
_cell_angle_beta 108.42
_cell_angle_gamma 90.00
_symmetry_space_group_name_H-M 'P 1 2/m 1'
_symmetry_Int_Tables_number 10
loop_
_symmetry_equiv_pos_as_xyz
'x,y,z'
'-x,-y,-z'
'-x,y,-z'
'x,-y,z'
loop_
_atom_site_label
_atom_site_fract_x
_atom_site_fract_y
_atom_site_fract_z
K1 0.0000 0.0000 0.0000
Ac1 0.5000 0.5000 0.0000
Sm1 0.0000 0.5000 0.5000
Sm2 0.5000 0.0000 0.5000
Se1 0.2444 0.0000 0.7307
Se2 0.2625 0.5000 0.2741
```

- Formation energy (no corrections): -1.7822 eV/atom
- VASP energy: -5.355 eV/atom

No. 8
# LiCu14Ni

A geometry-optimized LiCu14Ni structure (PBE, Alexandria via LeMat-Bulk).

Geometry as CIF:
```
data_LiCu14Ni
_cell_length_a 8.3470
_cell_length_b 5.1391
_cell_length_c 8.8482
_cell_angle_alpha 90.00
_cell_angle_beta 90.00
_cell_angle_gamma 90.00
_symmetry_space_group_name_H-M 'A m m 2'
_symmetry_Int_Tables_number 38
loop_
_symmetry_equiv_pos_as_xyz
'x,y,z'
'-x,-y,z'
'-x,y,z'
'x,-y,z'
'x,y+1/2,z+1/2'
'-x,-y+1/2,z+1/2'
'-x,y+1/2,z+1/2'
'x,-y+1/2,z+1/2'
loop_
_atom_site_label
_atom_site_fract_x
_atom_site_fract_y
_atom_site_fract_z
Li1 0.0000 0.0000 0.0000
Cu1 0.0000 0.2491 0.7496
Cu2 0.2460 0.0000 0.3337
Cu3 0.2495 0.2485 0.5826
Cu4 0.2506 0.0000 0.8327
Cu5 0.5000 0.0000 0.1662
Cu6 0.5000 0.0000 0.6659
Cu7 0.5000 0.2497 0.4158
Ni1 0.0000 0.0000 0.5008
```

- VASP energy: -4.066 eV/atom

No. 9
# LiNbCdPt

A geometry-optimized LiNbCdPt structure (PBE, Alexandria via LeMat-Bulk).

Geometry as CIF:
```
data_LiNbCdPt
_cell_length_a 6.3936
_cell_length_b 6.3936
_cell_length_c 6.3936
_cell_angle_alpha 90.00
_cell_angle_beta 90.00
_cell_angle_gamma 90.00
_symmetry_space_group_name_H-M 'F -4 3 m'
_symmetry_Int_Tables_number 216
_symmetry_space_group_name_Hall 'F -4 2 3'
loop_
_atom_site_label
_atom_site_fract_x
_atom_site_fract_y
_atom_site_fract_z
Li1 0.0000 0.0000 0.0000
Nb1 0.2500 0.2500 0.2500
Cd1 0.2500 0.2500 0.7500
Pt1 0.0000 0.0000 0.5000
```

- VASP energy: -5.065 eV/atom

No. 10
# AsRhSe

A geometry-optimized AsRhSe structure (PBE, Alexandria via LeMat-Bulk).

Geometry as CIF:
```
data_AsRhSe
_cell_length_a 3.0628
_cell_length_b 3.0628
_cell_length_c 11.7310
_cell_angle_alpha 90.00
_cell_angle_beta 90.00
_cell_angle_gamma 90.00
_symmetry_space_group_name_H-M 'I 4 m m'
_symmetry_Int_Tables_number 107
_symmetry_space_group_name_Hall 'I 4 -2'
loop_
_atom_site_label
_atom_site_fract_x
_atom_site_fract_y
_atom_site_fract_z
As1 0.0000 0.0000 0.0000
Rh1 0.0000 0.0000 0.3738
Se1 0.0000 0.0000 0.7355
```

- Formation energy (no corrections): -0.0686 eV/atom
- VASP energy: -5.230 eV/atom

No. 11
# U5Ge3

A geometry-optimized U5Ge3 structure (PBE, Alexandria via LeMat-Bulk).

Geometry as CIF:
```
data_U5Ge3
_cell_length_a 8.5614
_cell_length_b 8.5614
_cell_length_c 5.5245
_cell_angle_alpha 90.00
_cell_angle_beta 90.00
_cell_angle_gamma 120.00
_symmetry_space_group_name_H-M 'P 63/m c m'
_symmetry_Int_Tables_number 193
_symmetry_space_group_name_Hall '-P 6c 2'
loop_
_atom_site_label
_atom_site_fract_x
_atom_site_fract_y
_atom_site_fract_z
U1 0.0000 0.2307 0.2500
U2 0.3333 0.6667 0.0000
Ge1 0.0000 0.3945 0.7500
```

- Offset from the most stable computed form: 0 meV per atom
- VASP energy: -8.822 eV/atom

No. 12
# FeTcAu2

A geometry-optimized FeTcAu2 structure (PBE, Alexandria via LeMat-Bulk).

Geometry as CIF:
```
data_FeTcAu2
_cell_length_a 2.8150
_cell_length_b 2.8150
_cell_length_c 27.5141
_cell_angle_alpha 90.00
_cell_angle_beta 90.00
_cell_angle_gamma 120.00
_symmetry_space_group_name_H-M 'R 3 m'
_symmetry_Int_Tables_number 160
_symmetry_space_group_name_Hall 'R 3 -2"'
loop_
_atom_site_label
_atom_site_fract_x
_atom_site_fract_y
_atom_site_fract_z
Fe1 0.0000 0.0000 0.0000
Tc1 0.0000 0.0000 0.2637
Au1 0.0000 0.0000 0.5084
Au2 0.0000 0.0000 0.7480
```

- Offset from the most stable computed form: 58 meV per atom
- VASP energy: -6.112 eV/atom

No. 13
# TaSiOs2

A geometry-optimized TaSiOs2 structure (PBE, Alexandria via LeMat-Bulk).

Geometry as CIF:
```
data_TaSiOs2
_cell_length_a 3.0576
_cell_length_b 4.3199
_cell_length_c 8.9245
_cell_angle_alpha 90.00
_cell_angle_beta 90.00
_cell_angle_gamma 90.00
_symmetry_space_group_name_H-M 'I m m 2'
_symmetry_Int_Tables_number 44
loop_
_symmetry_equiv_pos_as_xyz
'x,y,z'
'-x,-y,z'
'-x,y,z'
'x,-y,z'
'x+1/2,y+1/2,z+1/2'
'-x+1/2,-y+1/2,z+1/2'
'-x+1/2,y+1/2,z+1/2'
'x+1/2,-y+1/2,z+1/2'
loop_
_atom_site_label
_atom_site_fract_x
_atom_site_fract_y
_atom_site_fract_z
Ta1 0.0000 0.0000 0.0000
Si1 0.0000 0.5000 0.2496
Os1 0.0000 0.0000 0.5317
Os2 0.0000 0.5000 0.7584
```

- Formation energy (no corrections): -0.1727 eV/atom
- VASP energy: -10.107 eV/atom

No. 14
# Pm3TlCo

A geometry-optimized Pm3TlCo structure (PBE, Alexandria via LeMat-Bulk).

Geometry as CIF:
```
data_Pm3TlCo
_cell_length_a 5.2578
_cell_length_b 5.2578
_cell_length_c 5.2578
_cell_angle_alpha 90.00
_cell_angle_beta 90.00
_cell_angle_gamma 90.00
_symmetry_space_group_name_H-M 'P m -3 m'
_symmetry_Int_Tables_number 221
_symmetry_space_group_name_Hall '-P 4 2 3'
loop_
_atom_site_label
_atom_site_fract_x
_atom_site_fract_y
_atom_site_fract_z
Pm1 0.0000 0.0000 0.5000
Tl1 0.5000 0.5000 0.5000
Co1 0.0000 0.0000 0.0000
```

- Offset from the most stable computed form: 0 meV per atom
- VASP energy: -4.865 eV/atom

No. 15
# MgSnPb

A geometry-optimized MgSnPb structure (PBE, Alexandria via LeMat-Bulk).

Geometry as CIF:
```
data_MgSnPb
_cell_length_a 3.4949
_cell_length_b 3.4949
_cell_length_c 13.1503
_cell_angle_alpha 90.00
_cell_angle_beta 90.00
_cell_angle_gamma 90.00
_symmetry_space_group_name_H-M 'I 4 m m'
_symmetry_Int_Tables_number 107
_symmetry_space_group_name_Hall 'I 4 -2'
loop_
_atom_site_label
_atom_site_fract_x
_atom_site_fract_y
_atom_site_fract_z
Mg1 0.0000 0.0000 0.0000
Sn1 0.0000 0.0000 0.6469
Pb1 0.0000 0.0000 0.3384
```

- Offset from the most stable computed form: 0 meV per atom
- VASP energy: -3.136 eV/atom

No. 16
# SrCdCl2

A geometry-optimized SrCdCl2 structure (PBE, Alexandria via LeMat-Bulk).

Geometry as CIF:
```
data_SrCdCl2
_cell_length_a 7.1545
_cell_length_b 7.1572
_cell_length_c 4.2310
_cell_angle_alpha 90.00
_cell_angle_beta 90.20
_cell_angle_gamma 90.00
_symmetry_space_group_name_H-M 'C 1 2/m 1'
_symmetry_Int_Tables_number 12
loop_
_symmetry_equiv_pos_as_xyz
'x,y,z'
'-x,-y,-z'
'-x,y,-z'
'x,-y,z'
'x+1/2,y+1/2,z'
'-x+1/2,-y+1/2,-z'
'-x+1/2,y+1/2,-z'
'x+1/2,-y+1/2,z'
loop_
_atom_site_label
_atom_site_fract_x
_atom_site_fract_y
_atom_site_fract_z
Sr1 0.0000 0.0000 0.0000
Cd1 0.0000 0.5000 0.0000
Cl1 0.2500 0.2500 0.5000
```

- Offset from the most stable computed form: 299 meV per atom
- Formation energy (no corrections): -1.3681 eV/atom
- VASP energy: -2.941 eV/atom

No. 17
# Sc2SiH2

A geometry-optimized Sc2SiH2 structure (PBE, Alexandria via LeMat-Bulk).

Geometry as CIF:
```
data_Sc2SiH2
_cell_length_a 6.5831
_cell_length_b 6.5831
_cell_length_c 2.8254
_cell_angle_alpha 90.00
_cell_angle_beta 90.00
_cell_angle_gamma 90.00
_symmetry_space_group_name_H-M 'P 4/m b m'
_symmetry_Int_Tables_number 127
_symmetry_space_group_name_Hall '-P 4 2ab'
loop_
_atom_site_label
_atom_site_fract_x
_atom_site_fract_y
_atom_site_fract_z
Sc1 0.1676 0.3324 0.0000
Si1 0.0000 0.0000 0.5000
H1 0.1059 0.6059 0.5000
```

- Offset from the most stable computed form: 90 meV per atom
- VASP energy: -5.195 eV/atom

No. 18
# Ta2PtC2

A geometry-optimized Ta2PtC2 structure (PBE, Alexandria via LeMat-Bulk).

Geometry as CIF:
```
data_Ta2PtC2
_cell_length_a 6.3319
_cell_length_b 6.3319
_cell_length_c 2.9853
_cell_angle_alpha 90.00
_cell_angle_beta 90.00
_cell_angle_gamma 90.00
_symmetry_space_group_name_H-M 'P 4/m b m'
_symmetry_Int_Tables_number 127
_symmetry_space_group_name_Hall '-P 4 2ab'
loop_
_atom_site_label
_atom_site_fract_x
_atom_site_fract_y
_atom_site_fract_z
Ta1 0.1531 0.3469 0.0000
Pt1 0.0000 0.0000 0.5000
C1 0.1522 0.6522 0.5000
```

- Offset from the most stable computed form: 212 meV per atom
- VASP energy: -9.498 eV/atom

No. 19
# BeFe3Ir

A geometry-optimized BeFe3Ir structure (PBE, Alexandria via LeMat-Bulk).

Geometry as CIF:
```
data_BeFe3Ir
_cell_length_a 3.8023
_cell_length_b 3.8023
_cell_length_c 3.8023
_cell_angle_alpha 90.00
_cell_angle_beta 90.00
_cell_angle_gamma 90.00
_symmetry_space_group_name_H-M 'P m -3 m'
_symmetry_Int_Tables_number 221
_symmetry_space_group_name_Hall '-P 4 2 3'
loop_
_atom_site_label
_atom_site_fract_x
_atom_site_fract_y
_atom_site_fract_z
Be1 0.0000 0.0000 0.0000
Fe1 0.0000 0.0000 0.5000
Ir1 0.5000 0.5000 0.5000
```

- Offset from the most stable computed form: 0 meV per atom
- VASP energy: -6.971 eV/atom

No. 20
# UAsP2

A geometry-optimized UAsP2 structure (PBE, Alexandria via LeMat-Bulk).

Geometry as CIF:
```
data_UAsP2
_cell_length_a 3.7700
_cell_length_b 3.7700
_cell_length_c 19.8763
_cell_angle_alpha 90.00
_cell_angle_beta 90.00
_cell_angle_gamma 120.00
_symmetry_space_group_name_H-M 'R -3 m'
_symmetry_Int_Tables_number 166
_symmetry_space_group_name_Hall '-R 3 2"'
loop_
_atom_site_label
_atom_site_fract_x
_atom_site_fract_y
_atom_site_fract_z
U1 0.0000 0.0000 0.0000
As1 0.0000 0.0000 0.5000
P1 0.0000 0.0000 0.2442
```

- Offset from the most stable computed form: 270 meV per atom
- VASP energy: -6.834 eV/atom